# PBE TaNiRu2, optimized geometry
# total magnetization: 0.256 μB per atom
# energy of formation: 155 meV per atom
data_TaNiRu2
_space_group_name_H-M_alt 'R -3 m'
_space_group_IT_number 166
_space_group_name_Hall '-R 3 2"'
_cell_length_a 2.7583
_cell_length_b 2.7583
_cell_length_c 26.4284
_cell_angle_alpha 90.00
_cell_angle_beta 90.00
_cell_angle_gamma 120.00
loop_
_atom_site_label
_atom_site_fract_x
_atom_site_fract_y
_atom_site_fract_z
_atom_site_occupancy
Ta1 0.0000 0.0000 0.0000 1
Ni1 0.0000 0.0000 0.5000 1
Ru1 0.0000 0.0000 0.2448 1